Compound: Pr2Dy4Y2Er
Source: Alexandria via LeMat-Bulk
Functional: PBE-GGA
Structure: optimized geometry

Cell: 3.6169 9.5503 9.6052 Å, 115.20 90.00 100.92°
Atoms (fractional coordinates):
Y (0.1464, 0.2928, 0.6619)
Dy (0.8148, 0.6296, 0.6639)
Y (0.8536, 0.7072, 0.3381)
Pr (0.3350, 0.6701, 0.0000)
Dy (0.1852, 0.3704, 0.3361)
Dy (0.4807, 0.9614, 0.6662)
Er (0.0000, 0.0000, 0.0000)
Dy (0.5193, 0.0386, 0.3338)
Pr (0.6650, 0.3299, 0.0000)


Compound: Pr3DyY6Er2
Source: Alexandria via LeMat-Bulk
Functional: PBE-GGA
Structure: optimized geometry

Cell: 6.2330 6.2330 11.8738 Å, 95.01 95.01 119.97°
Atoms (fractional coordinates):
Y (0.2518, 0.2518, 0.7547)
Y (0.9182, 0.5847, 0.7548)
Er (0.6666, 0.3334, 0.0000)
Er (0.3334, 0.6666, 0.0000)
Pr (0.8332, 0.1668, 0.5000)
Y (0.0818, 0.4153, 0.2452)
Dy (0.0000, 0.0000, 0.0000)
Y (0.7482, 0.7482, 0.2453)
Pr (0.1668, 0.8332, 0.5000)
Y (0.5847, 0.9182, 0.7548)
Y (0.4153, 0.0818, 0.2452)
Pr (0.5000, 0.5000, 0.5000)


Compound: Pr2DyY6Er3
Source: Alexandria via LeMat-Bulk
Functional: PBE-GGA
Structure: optimized geometry

Cell: 6.1967 6.1967 11.8409 Å, 94.99 94.99 119.96°
Atoms (fractional coordinates):
Y (0.9151, 0.5826, 0.7462)
Y (0.7527, 0.7527, 0.2540)
Y (0.0849, 0.4174, 0.2538)
Er (0.1664, 0.8336, 0.5000)
Y (0.5826, 0.9151, 0.7462)
Pr (0.3334, 0.6666, 0.0000)
Pr (0.6666, 0.3334, 0.0000)
Dy (0.0000, 0.0000, 0.0000)
Y (0.4174, 0.0849, 0.2538)
Er (0.5000, 0.5000, 0.5000)
Er (0.8336, 0.1664, 0.5000)
Y (0.2473, 0.2473, 0.7460)


Compound: Pr4DyY2Er2
Source: Alexandria via LeMat-Bulk
Functional: PBE-GGA
Structure: optimized geometry

Cell: 5.1193 8.1007 8.0805 Å, 107.42 90.00 108.42°
Atoms (fractional coordinates):
Pr (0.4459, 0.8918, 0.6710)
Er (0.3325, 0.6650, 0.0002)
Er (0.6675, 0.3350, 0.9998)
Pr (0.5541, 0.1082, 0.3290)
Y (0.1117, 0.2234, 0.6706)
Pr (0.2223, 0.4446, 0.3302)
Y (0.8883, 0.7766, 0.3294)
Pr (0.7777, 0.5554, 0.6698)
Dy (0.0000, 0.0000, 0.0000)


Compound: PrDy6Y2Er3
Source: Alexandria via LeMat-Bulk
Functional: PBE-GGA
Structure: optimized geometry

Cell: 6.1488 6.1488 11.7812 Å, 94.97 94.97 119.95°
Atoms (fractional coordinates):
Pr (0.0000, 0.0000, 0.0000)
Er (0.1671, 0.8329, 0.5000)
Y (0.3333, 0.6667, 0.0000)
Dy (0.2484, 0.2484, 0.7466)
Dy (0.5813, 0.9148, 0.7465)
Y (0.6667, 0.3333, 0.0000)
Dy (0.4187, 0.0852, 0.2535)
Er (0.5000, 0.5000, 0.5000)
Er (0.8329, 0.1671, 0.5000)
Dy (0.0852, 0.4187, 0.2535)
Dy (0.7516, 0.7516, 0.2534)
Dy (0.9148, 0.5813, 0.7465)


Compound: Pr6DyYEr2
Source: Alexandria via LeMat-Bulk
Functional: PBE-GGA
Structure: optimized geometry

Cell: 9.7368 9.0012 9.0012 Å, 117.76 94.07 94.07°
Atoms (fractional coordinates):
Pr (0.3810, 0.5096, 0.2940)
Dy (0.2500, 0.9716, 0.0284)
Pr (0.3139, 0.9896, 0.4365)
Pr (0.6861, 0.0104, 0.5635)
Er (0.0461, 0.2950, 0.1994)
Dy (0.7500, 0.0284, 0.9716)
Pr (0.0541, 0.1134, 0.7622)
Er (0.4539, 0.8006, 0.7050)
Pr (0.1190, 0.7060, 0.4904)
Pr (0.5541, 0.7622, 0.1134)
Pr (0.1861, 0.5635, 0.0104)
Pr (0.8139, 0.4365, 0.9896)
Y (0.7500, 0.5902, 0.4098)
Pr (0.9459, 0.8866, 0.2378)
Pr (0.4459, 0.2378, 0.8866)
Pr (0.6190, 0.4904, 0.7060)
Pr (0.8810, 0.2940, 0.5096)
Y (0.2500, 0.4098, 0.5902)
Er (0.9539, 0.7050, 0.8006)
Er (0.5461, 0.1994, 0.2950)


Compound: PrDy2YEr2
Source: Alexandria via LeMat-Bulk
Functional: PBE-GGA
Structure: optimized geometry

Cell: 3.4108 6.5431 17.7852 Å, 90.00 90.00 90.00°
Atoms (fractional coordinates):
Pr (0.5000, 0.5000, 0.5000)
Er (0.0000, 0.7224, 0.8511)
Y (0.0000, 0.0000, 0.5000)
Dy (0.0000, 0.7747, 0.1862)
Dy (0.5000, 0.7253, 0.6862)
Er (0.0000, 0.2776, 0.1489)
Er (0.5000, 0.2224, 0.6489)
Y (0.5000, 0.5000, 0.0000)
Dy (0.0000, 0.2253, 0.8138)
Dy (0.5000, 0.2747, 0.3138)
Pr (0.0000, 0.0000, 0.0000)
Er (0.5000, 0.7776, 0.3511)


Compound: Pr2Dy2Y4Er
Source: Alexandria via LeMat-Bulk
Functional: PBE-GGA
Structure: optimized geometry

Cell: 3.6235 9.5645 9.6197 Å, 115.19 90.00 100.92°
Atoms (fractional coordinates):
Dy (0.8526, 0.7052, 0.3373)
Pr (0.3352, 0.6703, 0.0030)
Y (0.8145, 0.6289, 0.6649)
Y (0.4805, 0.9610, 0.6650)
Er (0.0000, 0.0000, 0.0000)
Y (0.1855, 0.3711, 0.3351)
Y (0.5195, 0.0390, 0.3350)
Pr (0.6648, 0.3297, 0.9970)
Dy (0.1474, 0.2948, 0.6627)


Compound: Pr2Dy3YEr6
Source: Alexandria via LeMat-Bulk
Functional: PBE-GGA
Structure: optimized geometry

Cell: 6.1604 6.1604 11.7572 Å, 94.99 94.99 119.96°
Atoms (fractional coordinates):
Dy (0.1665, 0.8335, 0.5000)
Dy (0.8335, 0.1665, 0.5000)
Dy (0.5000, 0.5000, 0.5000)
Er (0.4182, 0.0850, 0.2534)
Er (0.2478, 0.2478, 0.7463)
Y (0.0000, 0.0000, 0.0000)
Er (0.7522, 0.7522, 0.2537)
Er (0.0850, 0.4182, 0.2534)
Pr (0.6666, 0.3334, 0.0000)
Er (0.5818, 0.9150, 0.7466)
Er (0.9150, 0.5818, 0.7466)
Pr (0.3334, 0.6666, 0.0000)


Compound: PrDyY3Er
Source: Alexandria via LeMat-Bulk
Functional: PBE-GGA
Structure: optimized geometry

Cell: 5.0616 8.0092 10.1280 Å, 90.00 90.00 108.42°
Atoms (fractional coordinates):
Er (0.8335, 0.6670, 0.7500)
Y (0.3326, 0.6651, 0.9996)
Dy (0.4993, 0.9986, 0.7500)
Pr (0.0000, 0.0000, 0.5000)
Dy (0.5007, 0.0014, 0.2500)
Y (0.6674, 0.3349, 0.0004)
Y (0.6674, 0.3349, 0.4996)
Er (0.1665, 0.3330, 0.2500)
Y (0.3326, 0.6651, 0.5004)
Y (0.1673, 0.3345, 0.7500)
Pr (0.0000, 0.0000, 0.0000)
Y (0.8327, 0.6655, 0.2500)


Compound: PrDy2Y2Er2
Source: Alexandria via LeMat-Bulk
Functional: PBE-GGA
Structure: optimized geometry

Cell: 3.5002 9.2087 8.3843 Å, 118.63 90.00 100.96°
Atoms (fractional coordinates):
Dy (0.3499, 0.6998, 0.0920)
Er (0.2119, 0.4238, 0.6252)
Dy (0.6501, 0.3002, 0.9080)
Er (0.7881, 0.5762, 0.3748)
Y (0.4281, 0.8562, 0.7680)
Y (0.5719, 0.1438, 0.2320)
Pr (0.0000, 0.0000, 0.5000)


Compound: Pr2DyY2Er
Source: Alexandria via LeMat-Bulk
Functional: PBE-GGA
Structure: optimized geometry

Cell: 3.3994 6.6268 18.1498 Å, 90.00 90.00 90.00°
Atoms (fractional coordinates):
Y (0.0000, 0.2734, 0.1453)
Dy (0.0000, 0.0000, 0.5000)
Y (0.0000, 0.7266, 0.8547)
Pr (0.0000, 0.7695, 0.1842)
Pr (0.5000, 0.2695, 0.3158)
Er (0.0000, 0.0000, 0.0000)
Pr (0.0000, 0.2305, 0.8158)
Y (0.5000, 0.7734, 0.3547)
Pr (0.5000, 0.7305, 0.6842)
Er (0.5000, 0.5000, 0.5000)
Dy (0.5000, 0.5000, 0.0000)
Y (0.5000, 0.2266, 0.6453)


Compound: PrDy6Y3Er2
Source: Alexandria via LeMat-Bulk
Functional: PBE-GGA
Structure: optimized geometry

Cell: 6.1581 6.1581 11.8009 Å, 94.97 94.97 119.95°
Atoms (fractional coordinates):
Dy (0.9157, 0.5815, 0.7498)
Dy (0.0843, 0.4185, 0.2502)
Y (0.5000, 0.5000, 0.5000)
Dy (0.4185, 0.0843, 0.2502)
Y (0.1671, 0.8329, 0.5000)
Dy (0.7498, 0.7498, 0.2500)
Pr (0.0000, 0.0000, 0.0000)
Dy (0.2502, 0.2502, 0.7500)
Y (0.8329, 0.1671, 0.5000)
Dy (0.5815, 0.9157, 0.7498)
Er (0.6667, 0.3333, 0.0000)
Er (0.3333, 0.6667, 0.0000)


Compound: PrDy5YEr2
Source: Alexandria via LeMat-Bulk
Functional: PBE-GGA
Structure: optimized geometry

Cell: 5.6018 10.3437 10.6196 Å, 90.00 90.00 105.71°
Atoms (fractional coordinates):
Pr (0.7981, 0.5963, 0.5115)
Er (0.1133, 0.2267, 0.3190)
Y (0.5861, 0.1722, 0.9534)
Dy (0.3003, 0.6005, 0.7075)
Pr (0.2019, 0.4037, 0.0115)
Dy (0.2811, 0.5622, 0.3060)
Dy (0.0170, 0.0339, 0.0266)
Dy (0.4779, 0.9558, 0.7377)
Er (0.8867, 0.7733, 0.8190)
Dy (0.5221, 0.0442, 0.2377)
Er (0.1088, 0.2177, 0.7374)
Dy (0.3942, 0.7884, 0.0248)
Dy (0.6058, 0.2116, 0.5248)
Y (0.4139, 0.8278, 0.4534)
Dy (0.9830, 0.9661, 0.5266)
Dy (0.7189, 0.4378, 0.8060)
Er (0.8912, 0.7823, 0.2374)
Dy (0.6997, 0.3995, 0.2075)


Compound: Pr6Dy2YEr
Source: Alexandria via LeMat-Bulk
Functional: PBE-GGA
Structure: optimized geometry

Cell: 9.7079 9.0370 9.0370 Å, 118.05 93.81 93.81°
Atoms (fractional coordinates):
Dy (0.5456, 0.2004, 0.2997)
Er (0.7500, 0.5876, 0.4124)
Pr (0.4470, 0.2365, 0.8815)
Pr (0.6898, 0.0079, 0.5640)
Pr (0.8827, 0.2915, 0.5075)
Pr (0.5530, 0.7635, 0.1185)
Pr (0.3827, 0.5075, 0.2915)
Pr (0.6173, 0.4925, 0.7085)
Pr (0.8102, 0.4360, 0.9921)
Y (0.7500, 0.0266, 0.9734)
Pr (0.1898, 0.5640, 0.0079)
Er (0.2500, 0.4124, 0.5876)
Dy (0.9544, 0.7003, 0.7996)
Pr (0.0530, 0.1185, 0.7635)
Dy (0.4544, 0.7996, 0.7003)
Y (0.2500, 0.9734, 0.0266)
Pr (0.3102, 0.9921, 0.4360)
Pr (0.1173, 0.7085, 0.4925)
Dy (0.0456, 0.2997, 0.2004)
Pr (0.9470, 0.8815, 0.2365)


Compound: PrDyY5Er2
Source: Alexandria via LeMat-Bulk
Functional: PBE-GGA
Structure: optimized geometry

Cell: 5.6350 10.4554 10.5343 Å, 90.00 90.00 105.63°
Atoms (fractional coordinates):
Y (0.3906, 0.7812, 0.0251)
Y (0.5220, 0.0439, 0.2371)
Er (0.1125, 0.2251, 0.3195)
Pr (0.1975, 0.3950, 0.0144)
Y (0.7213, 0.4427, 0.8137)
Y (0.4780, 0.9561, 0.7371)
Er (0.8898, 0.7796, 0.2358)
Y (0.6094, 0.2188, 0.5251)
Y (0.3010, 0.6021, 0.7052)
Dy (0.4135, 0.8270, 0.4495)
Y (0.0162, 0.0324, 0.0236)
Pr (0.8025, 0.6050, 0.5144)
Dy (0.5865, 0.1730, 0.9495)
Y (0.6990, 0.3979, 0.2052)
Er (0.1102, 0.2204, 0.7358)
Y (0.2787, 0.5573, 0.3137)
Y (0.9838, 0.9676, 0.5236)
Er (0.8875, 0.7749, 0.8195)


Compound: PrDyErZr
Source: Alexandria via LeMat-Bulk
Functional: PBE-GGA
Structure: optimized geometry

Cell: 5.5261 5.5261 5.5261 Å, 60.00 60.00 60.00°
Site moments in Bohr magnetons follow the coordinates.
Atoms (fractional coordinates):
Er (0.2500, 0.2500, 0.2500)  0.16
Zr (0.0000, 0.0000, 0.0000)  0.59
Dy (0.7500, 0.7500, 0.7500)  0.17
Pr (0.5000, 0.5000, 0.5000)  -0.03


Compound: DyEr2Pt3
Source: Alexandria via LeMat-Bulk
Functional: PBE-GGA
Structure: optimized geometry

Cell: 3.4418 4.9336 14.8019 Å, 90.00 90.00 90.00°
Atoms (fractional coordinates):
Er (0.0000, 0.5000, 0.8332)
Pt (0.5004, 0.5000, 0.0000)
Pt (0.4996, 0.0000, 0.5000)
Pt (0.5006, 0.5000, 0.3312)
Pt (0.4994, 0.0000, 0.1688)
Pt (0.4994, 0.0000, 0.8312)
Er (0.0000, 0.0000, 0.3332)
Dy (0.9998, 0.5000, 0.5000)
Er (0.0000, 0.0000, 0.6668)
Pt (0.5006, 0.5000, 0.6688)
Dy (0.0002, 0.0000, 0.0000)
Er (0.0000, 0.5000, 0.1668)


Compound: Dy2ErPt3
Source: Alexandria via LeMat-Bulk
Functional: PBE-GGA
Structure: optimized geometry

Results
excess energy over the best structure of this formula in the dataset	0	meV per atom

Cell: 3.4476 4.9494 14.8575 Å, 90.00 90.00 90.00°
Atoms (fractional coordinates):
Pt (0.5005, 0.0000, 0.8358)
Dy (0.9998, 0.5000, 0.8334)
Pt (0.4995, 0.5000, 0.6642)
Dy (0.9998, 0.5000, 0.1666)
Dy (0.0002, 0.0000, 0.3334)
Pt (0.5005, 0.0000, 0.1642)
Er (0.9998, 0.5000, 0.5000)
Pt (0.4996, 0.5000, 0.0000)
Er (0.0002, 0.0000, 0.0000)
Dy (0.0002, 0.0000, 0.6666)
Pt (0.4995, 0.5000, 0.3358)
Pt (0.5004, 0.0000, 0.5000)


Compound: DyEr3Pt
Source: Alexandria via LeMat-Bulk
Functional: PBE-GGA
Structure: optimized geometry

Cell: 5.0701 6.3640 8.6952 Å, 82.77 90.00 90.00°
Atoms (fractional coordinates):
Er (0.8756, 0.9484, 0.6882)
Er (0.3756, 0.8508, 0.4306)
Dy (0.3756, 0.2864, 0.6634)
Er (0.3756, 0.4044, 0.2133)
Er (0.3757, 0.8901, 0.0084)
Pt (0.8756, 0.6441, 0.1613)
Dy (0.8756, 0.0664, 0.2382)
Er (0.8755, 0.4627, 0.8931)
Er (0.8756, 0.5019, 0.4709)
Pt (0.3757, 0.7087, 0.7402)


Asked for energy relative to the elements across the records above, the calculation gives 0.00, 0.02, 0.02, 0.02, 0.02, 0.11, 0.28, 0.00, 0.02, 0.02, 0.15, 0.27, 0.02, 0.16, 0.11, 0.16, 0.23, -1.25, -1.24, -0.49 eV per atom in order.
Asked for calculated density across the records above, the calculation gives 7.2, 6.1, 6.3, 6.8, 7.8, 6.9, 7.4, 6.4, 8.1, 6.3, 7.0, 6.4, 7.5, 7.7, 6.8, 6.0, 7.8, 14.3, 14.1, 10.3 Mg/m³ in order.